The following is a PBE-GGA calculation of a geometry-optimized BaLi2ZnF8 structure, from the Alexandria database.

The calculation puts the raw total energy at -4.31 eV/atom. The uncorrected formation energy is -29.7 eV/f.u. The volume is 458 Å³/cell.

The structure belongs to space group R-3 (No. 148, hexagonal axes); the cell edges are 5.1141, 5.1141 and 20.2169 Å and the angles 90.00°, 90.00° and 120.00°. Symmetry generates all atoms from Ba at (0.0000, 0.0000, 0.0000), Li at (0.0000, 0.0000, 0.1796), Zn at (0.0000, 0.0000, 0.5000), F at (0.0000, 0.0000, 0.3228) and F at (0.0037, 0.3533, 0.7808).